Below is an optimized crystal structure of CaSnPt4, with properties calculated at the PBE level.

Structure (POSCAR):
```
CaSnPt4
1.0
2.206 -10.603 0.000
2.206 10.603 0.000
0.000 0.000 5.528
Ca Sn Pt
2 2 8
Direct
0.096 0.904 0.750
0.904 0.096 0.250
0.396 0.604 0.750
0.604 0.396 0.250
0.173 0.827 0.250
0.288 0.712 0.005
0.288 0.712 0.495
0.500 0.500 0.000
0.500 0.500 0.500
0.712 0.288 0.505
0.712 0.288 0.995
0.827 0.173 0.750
```

Output
The value obtained for the formation energy is -459 meV/atom. The magnetization is 0.00 μB per atom. For the density of states at the Fermi level, the calculation gives 9.73 states/eV/cell. The total energy is -5.487 eV/atom.

***

Below is an optimized crystal structure of AcNdDy3Tm, with properties calculated at the PBE level.

Structure (POSCAR):
```
AcNdDy3Tm
1.0
9.600 -2.843 0.000
9.600 2.843 0.000
-0.242 0.000 7.711
Ac Nd Dy Tm
2 2 6 2
Direct
0.140 0.140 0.024
0.860 0.860 0.976
0.453 0.453 0.712
0.547 0.547 0.288
0.025 0.025 0.699
0.281 0.281 0.751
0.334 0.334 0.290
0.666 0.666 0.710
0.719 0.719 0.249
0.975 0.975 0.301
0.155 0.155 0.449
0.845 0.845 0.551
```

Output
The value obtained for the formation energy is 227 meV/atom. The magnetization is 0.00 μB per atom. For the density of states at the Fermi level, the calculation gives 19.27 states/eV/cell. The total energy is -4.299 eV/atom.

***

Below is an optimized crystal structure of SbTe2P, with properties calculated at the PBE level.

Structure (POSCAR):
```
SbTe2P
1.0
4.890 0.000 0.000
0.000 4.161 0.000
-2.047 0.000 5.768
Sb Te P
1 2 1
Direct
0.000 0.000 0.000
0.162 0.000 0.598
0.516 0.500 0.226
0.597 0.500 0.847
```

Output
As for the uncorrected formation energy: 0.6 eV/f.u. The magnetization is 0.00 μB per atom. For the density of states at the Fermi level, the calculation gives 2.19 states/eV/cell. The total energy is -3.795 eV/atom.

***

Below is an optimized crystal structure of Ac6BS12, with properties calculated at the PBE level.

Structure (POSCAR):
```
Ac6BS12
1.0
6.287 3.630 3.928
-6.287 3.630 3.928
0.000 -7.260 3.928
Ac B S
6 1 12
Direct
0.114 0.638 0.792
0.208 0.886 0.362
0.362 0.208 0.886
0.638 0.792 0.114
0.792 0.114 0.638
0.886 0.362 0.208
0.500 0.500 0.500
0.054 0.324 0.910
0.090 0.946 0.676
0.234 0.530 0.446
0.324 0.910 0.054
0.446 0.234 0.530
0.470 0.554 0.766
0.530 0.446 0.234
0.554 0.766 0.470
0.676 0.090 0.946
0.766 0.470 0.554
0.910 0.054 0.324
0.946 0.676 0.090
```

Output
As for the uncorrected formation energy: -27.0 eV/f.u. The magnetization is 0.11 μB per atom. For the density of states at the Fermi level, the calculation gives 18.46 states/eV/cell. The total energy is -5.676 eV/atom.